1.
Nd12Te3C5 after structural relaxation. Source: Alexandria via LeMat-Bulk, functional PBE.

a b c (Å): 14.221 14.221 14.221
angles (deg): 109.47 109.47 109.47
Atoms (fractional coordinates):
Te1 0.750 0.375 0.125
Te2 0.875 0.750 0.125
Te3 0.375 0.750 0.625
Te4 0.250 0.125 0.375
Te5 0.875 0.125 0.250
Te6 0.375 0.625 0.250
Te7 0.625 0.375 0.750
Te8 0.125 0.875 0.750
Te9 0.750 0.875 0.625
Te10 0.625 0.250 0.375
Te11 0.125 0.250 0.875
Te12 0.250 0.625 0.875
C1 0.125 0.375 0.250
C2 0.000 0.500 0.000
C3 0.000 0.000 0.000
C4 0.375 0.250 0.125
C5 0.500 0.000 0.500
C6 0.500 0.500 0.000
C7 0.125 0.750 0.375
C8 0.750 0.125 0.875
C9 0.750 0.625 0.375
C10 0.375 0.125 0.750
C11 0.625 0.875 0.250
C12 0.500 0.500 0.500
C13 0.500 0.000 0.000
C14 0.000 0.000 0.500
C15 0.250 0.375 0.625
C16 0.250 0.875 0.125
C17 0.000 0.500 0.500
C18 0.875 0.250 0.625
C19 0.625 0.750 0.875
C20 0.875 0.625 0.750
Nd1 0.700 0.112 0.017
Nd2 0.317 0.517 0.405
Nd3 0.983 0.388 0.300
Nd4 0.517 0.200 0.112
Nd5 0.588 0.700 0.683
Nd6 0.983 0.595 0.183
Nd7 0.317 0.800 0.412
Nd8 0.095 0.912 0.112
Nd9 0.595 0.983 0.683
Nd10 0.700 0.588 0.183
Nd11 0.800 0.483 0.388
Nd12 0.817 0.905 0.017
Nd13 0.112 0.700 0.517
Nd14 0.388 0.405 0.088
Nd15 0.088 0.905 0.388
Nd16 0.412 0.112 0.595
Nd17 0.088 0.183 0.200
Nd18 0.483 0.683 0.095
Nd19 0.817 0.912 0.300
Nd20 0.112 0.412 0.095
Nd21 0.388 0.983 0.800
Nd22 0.595 0.612 0.412
Nd23 0.905 0.817 0.517
Nd24 0.800 0.317 0.912
Nd25 0.405 0.388 0.588
Nd26 0.095 0.183 0.483
Nd27 0.200 0.683 0.088
Nd28 0.183 0.088 0.700
Nd29 0.612 0.017 0.200
Nd30 0.888 0.588 0.905
Nd31 0.517 0.317 0.905
Nd32 0.588 0.888 0.405
Nd33 0.912 0.817 0.800
Nd34 0.912 0.095 0.612
Nd35 0.888 0.300 0.483
Nd36 0.183 0.095 0.983
Nd37 0.612 0.595 0.912
Nd38 0.405 0.017 0.317
Nd39 0.300 0.412 0.817
Nd40 0.200 0.517 0.612
Nd41 0.905 0.088 0.888
Nd42 0.683 0.200 0.588
Nd43 0.483 0.800 0.888
Nd44 0.017 0.405 0.817
Nd45 0.412 0.300 0.317
Nd46 0.017 0.612 0.700
Nd47 0.683 0.483 0.595
Nd48 0.300 0.888 0.983

## Properties
size of the total moment: 0.000 μB per atom
formation energy without anion corrections: -0.3474 eV per atom
electronic total energy: -478.82 eV per cell
DOS(E_F): 53.0 states/eV/cell


2.
Tb3Pr5Tm3 after structural relaxation. Source: Alexandria via LeMat-Bulk, functional PBE.

a b c (Å): 3.465 11.319 11.319
angles (deg): 120.00 90.00 90.00
Atoms (fractional coordinates):
Tb1 0.000 0.597 0.000
Tb2 0.000 0.000 0.597
Tb3 0.000 0.403 0.403
Pr1 0.500 0.667 0.333
Pr2 0.500 0.333 0.667
Pr3 0.500 0.337 0.000
Pr4 0.500 0.663 0.663
Pr5 0.500 0.000 0.337
Tm1 0.500 0.841 0.000
Tm2 0.500 0.159 0.159
Tm3 0.500 0.000 0.841

## Properties
size of the total moment: 0.000 μB per atom
formation energy from the elements: 0.3078 eV per atom
electronic total energy: -47.82 eV per cell
DOS(E_F): 15.4 states/eV/cell


3.
MgP2 after structural relaxation. Source: Alexandria via LeMat-Bulk, functional PBE.

a b c (Å): 7.761 7.761 3.273
angles (deg): 90.00 90.00 120.00
Atoms (fractional coordinates):
Mg1 0.333 0.667 0.000
Mg2 0.667 0.333 0.000
Mg3 0.000 0.000 0.500
P1 0.289 0.000 0.000
P2 0.000 0.289 0.000
P3 0.711 0.711 0.000
P4 0.487 0.000 0.500
P5 0.000 0.487 0.500
P6 0.513 0.513 0.500

## Properties
size of the total moment: 0.000 μB per atom
formation energy from the elements: -0.1003 eV per atom
electronic total energy: -38.15 eV per cell
DOS(E_F): 2.3 states/eV/cell


4.
Mg2SbRh after structural relaxation. Source: Alexandria via LeMat-Bulk, functional PBE.

a b c (Å): 3.440 3.683 6.065
angles (deg): 90.00 90.00 90.00
Atoms (fractional coordinates):
Mg1 0.000 0.000 0.001
Mg2 0.500 0.500 0.269
Rh1 0.000 0.000 0.506
Sb1 0.500 0.500 0.724

## Properties
size of the total moment: 0.000 μB per atom
formation energy without anion corrections: -0.2581 eV per atom
electronic total energy: -15.70 eV per cell
DOS(E_F): 1.6 states/eV/cell


5.
Ba2BiSb2 after structural relaxation. Source: Alexandria via LeMat-Bulk, functional PBE.

a b c (Å): 8.576 8.576 5.103
angles (deg): 90.00 90.00 90.00
Atoms (fractional coordinates):
Sb1 0.375 0.875 0.000
Sb2 0.875 0.625 0.000
Sb3 0.625 0.125 0.000
Sb4 0.125 0.375 0.000
Bi1 0.000 0.000 0.000
Bi2 0.500 0.500 0.000
Ba1 0.176 0.676 0.500
Ba2 0.676 0.824 0.500
Ba3 0.824 0.324 0.500
Ba4 0.324 0.176 0.500

## Properties
size of the total moment: 0.000 μB per atom
distance to the lowest polymorph of the same formula: 0.20 eV per formula unit
formation energy without anion corrections: -0.7919 eV per atom
electronic total energy: -39.86 eV per cell
DOS(E_F): 7.2 states/eV/cell


6.
LiAcCeTl after structural relaxation. Source: Alexandria via LeMat-Bulk, functional PBE.

a b c (Å): 5.500 5.500 5.500
angles (deg): 60.00 60.00 60.00
Last column: magnetic moment on the atom in μB.
Atoms (fractional coordinates):
Ac1 0.250 0.250 0.250  0.39
Tl1 0.750 0.750 0.750  0.00
Ce1 0.000 0.000 0.000  1.34
Li1 0.500 0.500 0.500  0.02

## Properties
size of the total moment: 0.693 μB per atom
formation energy from the elements: 0.0924 eV per atom
electronic total energy: -13.95 eV per cell
DOS(E_F): 5.9 states/eV/cell


7.
MgCu2Au5 after structural relaxation. Source: Alexandria via LeMat-Bulk, functional PBE.

a b c (Å): 6.938 6.938 7.448
angles (deg): 117.76 117.76 90.00
Atoms (fractional coordinates):
Mg1 0.750 0.750 0.500
Mg2 0.250 0.250 0.500
Cu1 0.140 0.360 0.000
Cu2 0.640 0.140 0.000
Cu3 0.360 0.860 0.000
Cu4 0.860 0.640 0.000
Au1 0.497 0.690 0.688
Au2 0.810 0.003 0.312
Au3 0.000 0.000 0.000
Au4 0.500 0.500 0.000
Au5 0.190 0.997 0.688
Au6 0.690 0.190 0.688
Au7 0.997 0.497 0.688
Au8 0.310 0.810 0.312
Au9 0.003 0.503 0.312
Au10 0.503 0.310 0.312

## Properties
size of the total moment: 0.000 μB per atom
distance to the lowest polymorph of the same formula: 0.26 eV per formula unit
formation energy from the elements: -0.1481 eV per atom
electronic total energy: -54.72 eV per cell
DOS(E_F): 5.4 states/eV/cell